A plane-wave DFT calculation with GGA-PBE was carried out for a geometry-optimized K4La3NpTe8 structure.

Properties
E_form (uncorrected) ... -1.339 eV/atom
Total moment ... 4.00 μB/f.u.
V ... 625.2 Å³/cell

a = 9.833 Å, b = 9.833 Å, c = 9.833 Å
α = 56.96°, β = 56.96°, γ = 56.96°
Positions (direct):
K 0.000 0.000 0.000
K 0.000 0.500 0.500
K 0.500 0.000 0.500
K 0.500 0.500 0.000
La 0.000 0.000 0.500
La 0.000 0.500 0.000
La 0.500 0.000 0.000
Np 0.500 0.500 0.500
Te 0.239 0.239 0.239
Te 0.244 0.735 0.735
Te 0.265 0.265 0.756
Te 0.265 0.756 0.265
Te 0.735 0.244 0.735
Te 0.735 0.735 0.244
Te 0.756 0.265 0.265
Te 0.761 0.761 0.761